No. 1
# PBE KSe2Cl, relaxed
# Density of states at the Fermi level in states/eV per cell: 6.23
# Relative energy among the computed polymorphs in eV/f.u.: 4.128
# Formation energy from raw total energies in eV/atom: 0.233
data_KSe2Cl
_space_group_name_H-M_alt 'R -3 m'
_space_group_IT_number 166
_space_group_name_Hall '-R 3 2"'
_cell_length_a 3.0706
_cell_length_b 3.0706
_cell_length_c 38.2905
_cell_angle_alpha 90.00
_cell_angle_beta 90.00
_cell_angle_gamma 120.00
loop_
_atom_site_label
_atom_site_fract_x
_atom_site_fract_y
_atom_site_fract_z
K1 0.0000 0.0000 0.0000
Se1 0.0000 0.0000 0.2624
Cl1 0.0000 0.0000 0.5000

No. 2
# PBE Nb2AgGe, relaxed
# Density of states at the Fermi level in states/eV per cell: 13.13
# ΔE_f in eV per atom: 0.3087
data_Nb2AgGe
_space_group_name_H-M_alt 'I -4 2 d'
_space_group_IT_number 122
_space_group_name_Hall 'I -4 2bw'
_cell_length_a 7.326
_cell_length_b 7.326
_cell_length_c 5.570
_cell_angle_alpha 90.00
_cell_angle_beta 90.00
_cell_angle_gamma 90.00
loop_
_atom_site_label
_atom_site_fract_x
_atom_site_fract_y
_atom_site_fract_z
Nb1 0.232 0.750 0.125
Ag1 0.000 0.000 0.500
Ge1 0.000 0.000 0.000

No. 3
# PBE Ta2OsCl, relaxed
# Density of states at the Fermi level in states/eV per cell: 3.20
# Relative energy among the computed polymorphs in eV/f.u.: 0.442
# Formation energy from raw total energies in eV/atom: 0.019
data_Ta2OsCl
_space_group_name_H-M_alt 'R 3 m'
_space_group_IT_number 160
_space_group_name_Hall 'R 3 -2"'
_cell_length_a 3.1169
_cell_length_b 3.1169
_cell_length_c 27.6429
_cell_angle_alpha 90.00
_cell_angle_beta 90.00
_cell_angle_gamma 120.00
loop_
_atom_site_label
_atom_site_fract_x
_atom_site_fract_y
_atom_site_fract_z
Ta1 0.0000 0.0000 0.0000
Ta2 0.0000 0.0000 0.2460
Os1 0.0000 0.0000 0.7310
Cl1 0.0000 0.0000 0.5155

No. 4
# PBE DyEr2Co, relaxed
# Density of states at the Fermi level in states/eV per cell: 16.38
# Relative energy among the computed polymorphs in eV/f.u.: 1.344
# ΔE_f in eV per atom: 0.1557
data_DyEr2Co
_space_group_name_H-M_alt 'R -3 m'
_space_group_IT_number 166
_space_group_name_Hall '-R 3 2"'
_cell_length_a 3.5471
_cell_length_b 3.5471
_cell_length_c 30.7453
_cell_angle_alpha 90.00
_cell_angle_beta 90.00
_cell_angle_gamma 120.00
loop_
_atom_site_label
_atom_site_fract_x
_atom_site_fract_y
_atom_site_fract_z
Dy1 0.0000 0.0000 0.0000
Er1 0.0000 0.0000 0.1137
Co1 0.0000 0.0000 0.5000

No. 5
# PBE SiRuCl2, relaxed
# Density of states at the Fermi level in states/eV per cell: 12.67
# Relative energy among the computed polymorphs in eV/f.u.: 4.494
# Formation energy from raw total energies in eV/atom: 0.825
data_SiRuCl2
_space_group_name_H-M_alt 'I -4 2 d'
_space_group_IT_number 122
_space_group_name_Hall 'I -4 2bw'
_cell_length_a 5.819
_cell_length_b 5.819
_cell_length_c 11.044
_cell_angle_alpha 90.00
_cell_angle_beta 90.00
_cell_angle_gamma 90.00
loop_
_atom_site_label
_atom_site_fract_x
_atom_site_fract_y
_atom_site_fract_z
Si1 0.000 0.000 0.000
Ru1 0.000 0.000 0.500
Cl1 0.202 0.250 0.625

No. 6
# PBE CaSb2IrI, relaxed
# Density of states at the Fermi level in states/eV per cell: 6.63
# Relative energy among the computed polymorphs in eV/f.u.: 6.537
# Formation energy from raw total energies in eV/atom: 1.322
data_CaSb2IrI
_space_group_name_H-M_alt 'P 4/m m m'
_space_group_IT_number 123
_space_group_name_Hall '-P 4 2'
_cell_length_a 5.796
_cell_length_b 5.796
_cell_length_c 5.648
_cell_angle_alpha 90.00
_cell_angle_beta 90.00
_cell_angle_gamma 90.00
loop_
_atom_site_label
_atom_site_fract_x
_atom_site_fract_y
_atom_site_fract_z
Ca1 0.000 0.000 0.000
Sb1 0.000 0.500 0.000
Ir1 0.500 0.500 0.500
I1 0.000 0.000 0.500

No. 7
# PBE LiTh3U3S8, relaxed
# Density of states at the Fermi level in states/eV per cell: 69.54
# Formation energy from raw total energies in eV/atom: -1.591
data_LiTh3U3S8
_space_group_name_H-M_alt 'R -3 m'
_space_group_IT_number 166
_space_group_name_Hall '-R 3 2"'
_cell_length_a 7.8335
_cell_length_b 7.8335
_cell_length_c 19.5063
_cell_angle_alpha 90.00
_cell_angle_beta 90.00
_cell_angle_gamma 120.00
loop_
_atom_site_label
_atom_site_fract_x
_atom_site_fract_y
_atom_site_fract_z
Li1 0.0000 0.0000 0.0000
Th1 0.0000 0.5000 0.5000
U1 0.0000 0.5000 0.0000
S1 0.0000 0.0000 0.2544
S2 0.0022 0.5011 0.7456